Run A
# Er2SeI (GGA-PBE, relaxed)
data_Er2SeI
_chemical_formula_sum 'Er6 Se3 I3'
_cell_length_a 3.8582
_cell_length_b 3.8582
_cell_length_c 24.3192
_cell_angle_alpha 90.00
_cell_angle_beta 90.00
_cell_angle_gamma 120.00
_space_group_name_H-M_alt 'R 3 m'
_space_group_IT_number 160
_space_group_name_Hall 'R 3 -2"'
loop_
_atom_site_label
_atom_site_type_symbol
_atom_site_fract_x
_atom_site_fract_y
_atom_site_fract_z
Er1 Er 0.0000 0.0000 0.0000
Er2 Er 0.0000 0.0000 0.1899
Se1 Se 0.0000 0.0000 0.5945
I1 I 0.0000 0.0000 0.4270
# * magnetization: 0.00 μB per formula unit
# * V: 314 Å³ per cell

Run B
# Er2SeI (GGA-PBE, relaxed)
data_Er2SeI
_chemical_formula_sum 'Er4 Se2 I2'
_cell_length_a 3.9749
_cell_length_b 7.0954
_cell_length_c 9.0349
_cell_angle_alpha 89.85
_cell_angle_beta 89.77
_cell_angle_gamma 89.99
_space_group_name_H-M_alt 'P 1'
_space_group_IT_number 1
loop_
_space_group_symop_operation_xyz
'x,y,z'
loop_
_atom_site_label
_atom_site_type_symbol
_atom_site_fract_x
_atom_site_fract_y
_atom_site_fract_z
Er1 Er 0.0000 0.0000 0.0000
Er2 Er 0.0003 0.1941 0.5839
Er3 Er 0.4983 0.6952 0.2502
Er4 Er 0.4986 0.4967 0.8326
Se1 Se 0.5010 0.4451 0.5084
Se2 Se 0.9974 0.9456 0.3255
I1 I 0.9998 0.7984 0.7146
I2 I 0.4986 0.2996 0.1204
# * magnetization: 0.36 μB per formula unit
# * V: 255 Å³ per cell

Run C
# Er2SeI (GGA-PBE, relaxed)
data_Er2SeI
_chemical_formula_sum 'Er6 Se3 I3'
_cell_length_a 3.9218
_cell_length_b 3.9218
_cell_length_c 24.1576
_cell_angle_alpha 90.00
_cell_angle_beta 90.00
_cell_angle_gamma 120.00
_space_group_name_H-M_alt 'R -3 m'
_space_group_IT_number 166
_space_group_name_Hall '-R 3 2"'
loop_
_atom_site_label
_atom_site_type_symbol
_atom_site_fract_x
_atom_site_fract_y
_atom_site_fract_z
Er1 Er 0.0000 0.0000 0.2328
Se1 Se 0.0000 0.0000 0.5000
I1 I 0.0000 0.0000 0.0000
# * magnetization: 0.00 μB per formula unit
# * V: 322 Å³ per cell

The energetic minimum among the shown structures is run A; the next structure lies 31 meV per atom above.